A plane-wave DFT calculation with GGA-PBE was carried out for CsLiSiPb2 after structural relaxation.

```
data_CsLiSiPb2
_chemical_formula_sum 'Cs1 Li1 Si1 Pb2'
_symmetry_space_group_name_H-M 'P 4/m m m'
_symmetry_Int_Tables_number 123
_symmetry_space_group_name_Hall '-P 4 2'
_cell_length_a 5.2876
_cell_length_b 5.2876
_cell_length_c 5.6320
_cell_angle_alpha 90.00
_cell_angle_beta 90.00
_cell_angle_gamma 90.00
loop_
_atom_site_label
_atom_site_fract_x
_atom_site_fract_y
_atom_site_fract_z
_atom_site_occupancy
Cs1 0.0000 0.0000 0.0000 1
Li1 0.0000 0.0000 0.5000 1
Si1 0.5000 0.5000 0.0000 1
Pb1 0.0000 0.5000 0.5000 1
```

Values from the calculation:
The calculation puts the calculated density at 6.141 g cm⁻³. The uncorrected formation energy is 0.5445 eV per atom.



A plane-wave DFT calculation with GGA-PBE was carried out for CsLiTe2Pb after structural relaxation.

```
data_CsLiTe2Pb
_chemical_formula_sum 'Cs4 Li4 Te8 Pb4'
_symmetry_space_group_name_H-M 'C 1 2/m 1'
_symmetry_Int_Tables_number 12
_cell_length_a 16.6976
_cell_length_b 4.9272
_cell_length_c 10.6938
_cell_angle_alpha 90.00
_cell_angle_beta 94.41
_cell_angle_gamma 90.00
loop_
_symmetry_equiv_pos_as_xyz
'x,y,z'
'-x,-y,-z'
'-x,y,-z'
'x,-y,z'
'x+1/2,y+1/2,z'
'-x+1/2,-y+1/2,-z'
'-x+1/2,y+1/2,-z'
'x+1/2,-y+1/2,z'
loop_
_atom_site_label
_atom_site_fract_x
_atom_site_fract_y
_atom_site_fract_z
_atom_site_occupancy
Cs1 0.1699 0.0000 0.1761 1
Li1 0.1906 0.0000 0.5616 1
Te1 0.1383 0.5000 0.4474 1
Te2 0.1481 0.0000 0.8147 1
Pb1 0.0573 0.5000 0.6908 1
```

Values from the calculation:
The calculation puts the calculated density at 4.560 g cm⁻³. The uncorrected formation energy is -0.7846 eV per atom.